Model w:
SrYO2 GGA-PBE optimized geometry; DOS at the Fermi energy = 0.3636 states/eV per atom; ρ = 6.2 g/cm3
1.0
-0.708 1.283 4.040
-3.574 -1.224 2.049
0.235 -2.830 3.226
Y Sr O
1 1 2
Direct
0.500 0.500 0.500
0.000 0.000 0.000
0.250 0.250 0.250
0.750 0.750 0.750


Model x:
SrYO2 GGA-PBE optimized geometry; DOS at the Fermi energy = 0.1921 states/eV per atom; ρ = 4.5 g/cm3
1.0
2.069 0.000 6.882
-1.034 1.791 6.882
-1.034 -1.791 6.882
O Sr Y
2 1 1
Direct
0.886 0.886 0.886
0.114 0.114 0.114
0.000 0.000 0.000
0.500 0.500 0.500


Model y:
SrYO2 GGA-PBE optimized geometry; DOS at the Fermi energy = 0.2315 states/eV per atom; ρ = 5.3 g/cm3
1.0
-3.042 -1.581 0.660
-0.580 -1.432 3.130
-3.560 4.367 3.284
O Sr Y
2 1 1
Direct
0.267 0.267 0.199
0.068 0.068 0.796
0.495 0.495 0.515
0.670 0.670 0.990


Least stable structure: model w


Model w:
SrYO2 GGA-PBE optimized geometry; DOS at the Fermi energy = 0.2915 states/eV per atom; ρ = 5.5 g/cm3
1.0
3.512 0.000 0.000
1.756 3.041 0.000
1.756 1.014 5.849
Y O Sr
1 2 1
Direct
0.000 0.000 0.000
0.739 0.739 0.782
0.261 0.261 0.218
0.500 0.500 0.500


Model x:
SrYO2 GGA-PBE optimized geometry; DOS at the Fermi energy = 0.6489 states/eV per atom; ρ = 4.2 g/cm3
1.0
5.531 0.000 0.000
0.000 5.531 0.000
2.766 2.766 5.408
O Y Sr
4 2 2
Direct
0.875 0.920 0.750
0.375 0.330 0.750
0.080 0.625 0.250
0.670 0.125 0.250
0.000 0.000 0.000
0.750 0.250 0.500
0.500 0.500 0.000
0.250 0.750 0.500


Least stable structure: model x


Model w:
SrY3O GGA-PBE optimized geometry; DOS at the Fermi energy = 1.4429 states/eV per atom; ρ = 3.5 g/cm3
1.0
5.610 0.000 0.000
0.000 5.610 0.000
0.000 0.000 5.610
Sr Y O
1 3 1
Direct
0.000 0.000 0.000
0.000 0.000 0.500
0.500 0.000 0.000
0.000 0.500 0.000
0.500 0.500 0.500


Model x:
SrY3O GGA-PBE optimized geometry; DOS at the Fermi energy = 1.1976 states/eV per atom; ρ = 4.7 g/cm3
1.0
5.083 0.000 0.000
0.000 5.083 0.000
0.000 0.000 5.083
Y O Sr
3 1 1
Direct
0.000 0.500 0.000
0.000 0.000 0.500
0.500 0.000 0.000
0.000 0.000 0.000
0.500 0.500 0.500


Least stable structure: model w